1.
Below is an optimized crystal structure of Ac5La4Sm, with properties calculated at the GGA-PBE level.

Geometry as extended XYZ:
```
20
Lattice="8.963 0.000 0.000 0.000 7.453 0.000 0.000 0.000 12.933" Properties=species:S:1:pos:R:3 pbc="T T T"
Ac 3.210 5.604 11.017
Ac 3.210 1.849 11.017
Ac 0.611 3.726 0.000
Ac 3.210 5.604 1.916
Ac 3.210 1.849 1.916
Ac 5.753 5.575 4.551
Ac 5.753 1.878 4.551
Ac 8.352 0.000 6.466
Ac 5.753 1.878 8.382
Ac 5.753 5.575 8.382
La 8.814 0.000 9.880
La 6.595 5.643 0.000
La 6.595 1.810 0.000
La 8.814 0.000 3.053
La 0.149 3.726 3.414
La 2.368 5.536 6.466
La 2.368 1.917 6.466
La 0.149 3.726 9.519
Sm 0.757 0.000 0.000
Sm 8.206 3.726 6.466
```

**Final energy**: -4.22 eV per atom

***

2.
Below is an optimized crystal structure of AcLa10Sm4, with properties calculated at the GGA-PBE level.

Geometry as extended XYZ:
```
15
Lattice="-2.405 0.701 6.614 -9.356 -2.637 0.659 1.329 -8.176 5.130" Properties=species:S:1:pos:R:3 pbc="T T T"
Ac 0.000 0.000 0.000
La -4.615 -5.231 4.548
La -4.335 -7.497 8.712
La -3.273 -3.208 8.563
La -8.335 -6.562 7.078
La -7.325 -2.258 7.070
La -6.097 -2.615 3.692
La -5.817 -4.881 7.856
La -3.107 -7.854 5.334
La -2.097 -3.550 5.326
La -7.159 -6.904 3.841
Sm -9.072 -4.033 4.692
Sm -7.524 -8.826 9.544
Sm -2.908 -1.286 2.861
Sm -1.360 -6.079 7.712
```

**Final energy**: -4.41 eV per atom

***

3.
Below is an optimized crystal structure of Ac4LaSm5, with properties calculated at the GGA-PBE level.

Geometry as extended XYZ:
```
10
Lattice="-4.085 3.178 -1.653 -6.362 1.165 9.029 -1.456 6.609 7.374" Properties=species:S:1:pos:R:3 pbc="T T T"
Ac -4.580 6.135 5.254
Ac -3.648 2.429 4.755
Ac -8.254 8.523 9.994
Ac -7.322 4.817 9.495
La 0.000 0.000 0.000
Sm -7.560 6.322 12.976
Sm -4.342 4.631 1.773
Sm -4.847 7.566 8.665
Sm -3.909 3.887 8.201
Sm -7.055 3.387 6.084
```

**Final energy**: -4.46 eV per atom

***

4.
Below is an optimized crystal structure of AcLa2Sm7, with properties calculated at the GGA-PBE level.

Geometry as extended XYZ:
```
10
Lattice="-0.239 5.086 -2.305 -5.978 2.784 6.764 9.402 0.706 0.583" Properties=species:S:1:pos:R:3 pbc="T T T"
Ac 0.000 0.000 0.000
La -1.504 4.706 3.765
La 4.689 3.870 1.277
Sm -2.480 2.311 5.358
Sm 5.905 1.179 1.988
Sm 2.288 2.934 -0.539
Sm 0.897 5.642 5.581
Sm -1.286 3.417 0.897
Sm 4.471 5.159 4.145
Sm 1.593 4.288 2.521
```

**Final energy**: -4.10 eV per atom

***

5.
Below is an optimized crystal structure of Ac7LaSm4, with properties calculated at the GGA-PBE level.

Geometry as extended XYZ:
```
12
Lattice="-2.557 -4.292 -5.917 -4.876 -2.516 3.920 -9.806 1.847 -7.181" Properties=species:S:1:pos:R:3 pbc="T T T"
Ac -4.403 -4.436 -2.462
Ac -12.836 -0.525 -6.715
Ac -8.084 0.164 -4.131
Ac -9.155 -5.125 -5.046
Ac -11.183 -2.150 -3.701
Ac -1.278 -2.146 -2.958
Ac -6.056 -2.811 -5.476
La 0.000 0.000 0.000
Sm -7.866 -2.990 -1.989
Sm -9.373 -1.971 -7.189
Sm -12.468 -4.332 -6.641
Sm -4.771 -0.629 -2.536
```

**Final energy**: -4.35 eV per atom

***

6.
Below is an optimized crystal structure of AcLa2Sm5, with properties calculated at the GGA-PBE level.

Geometry as extended XYZ:
```
16
Lattice="-2.428 -2.893 -3.678 6.505 -1.406 -3.188 1.539 -12.027 8.445" Properties=species:S:1:pos:R:3 pbc="T T T"
Ac 0.769 -6.013 4.223
Ac 3.253 -0.703 -1.594
La 1.411 -9.354 2.649
La 4.206 -6.972 -1.069
La 0.576 -3.326 -1.542
La 5.040 -13.000 3.121
Sm 0.000 0.000 0.000
Sm 4.022 -6.716 2.629
Sm 4.433 -9.694 4.700
Sm 3.612 -3.739 0.557
Sm 6.855 -4.370 -1.087
Sm 1.189 -9.063 6.344
Sm 1.768 -12.302 4.733
Sm 3.849 -4.024 -3.153
Sm 0.975 -6.284 0.521
Sm 4.641 -10.042 1.058
```

**Final energy**: -4.67 eV per atom

***

7.
Below is an optimized crystal structure of Ac8LaSm4, with properties calculated at the GGA-PBE level.

Geometry as extended XYZ:
```
13
Lattice="10.459 -0.001 -5.643 -6.751 9.780 -0.001 -2.535 -1.750 7.815" Properties=species:S:1:pos:R:3 pbc="T T T"
Ac -0.399 6.945 -0.741
Ac 1.571 1.085 2.912
Ac 2.786 1.923 -0.833
Ac -3.545 1.014 5.943
Ac -1.614 6.106 3.005
Ac -7.060 6.106 5.943
Ac 8.233 1.923 -3.771
Ac 4.717 7.016 -3.772
La -4.643 4.015 3.907
Sm 0.000 0.000 0.000
Sm -5.911 3.140 7.814
Sm 1.854 4.890 -2.822
Sm 5.229 0.000 -2.821
```

**Final energy**: -3.96 eV per atom

***

8.
Below is an optimized crystal structure of AcLa8Sm6, with properties calculated at the GGA-PBE level.

Geometry as extended XYZ:
```
15
Lattice="-7.766 1.938 3.909 -6.810 -5.021 -2.786 -2.684 -6.077 5.933" Properties=species:S:1:pos:R:3 pbc="T T T"
Ac 0.000 0.000 0.000
La -7.669 -7.776 4.265
La -7.735 -6.421 0.791
La -6.418 -4.795 6.124
La -13.123 -6.964 5.364
La -4.137 -2.196 1.691
La -10.842 -4.365 0.932
La -9.525 -2.739 6.264
La -9.591 -1.384 2.790
Sm -5.003 -5.613 3.202
Sm -10.570 -7.694 2.596
Sm -9.713 -6.029 6.853
Sm -7.546 -3.132 0.203
Sm -6.690 -1.466 4.459
Sm -12.257 -3.547 3.853
```

**Final energy**: -4.58 eV per atom